This record from Alexandria via LeMat-Bulk describes a relaxed BaLi2LaPd crystal. The functional is PBE-GGA.

Cell lengths 5.3757, 5.3757, 5.3593 Å; angles 90.00, 90.00, 90.00 degrees
With the nearest neighbours (Å) after each atom.
Space group P4/mmm (No. 123)
Inequivalent atoms, fractional coordinates:
1 Ba 0.0000 0.0000 0.0000 (multiplicity 1)  8 Li 3.80, 4 La 3.80
2 Li 0.0000 0.5000 0.5000 (multiplicity 2)  2 Pd 2.69
3 La 0.5000 0.5000 0.0000 (multiplicity 1)  2 Pd 2.68
4 Pd 0.5000 0.5000 0.5000 (multiplicity 1)  2 La 2.68, 4 Li 2.69

Values from the calculation:
Total magnetization, μB per atom: 0.000
ΔH_f (0 K), eV per formula unit: -0.710

=====

This record from Alexandria via LeMat-Bulk describes a relaxed Ba2LiLaPt crystal. The functional is PBE-GGA.

Cell lengths 6.3971, 6.3971, 5.5758 Å; angles 90.00, 90.00, 90.00 degrees
With the nearest neighbours (Å) after each atom.
Space group P4/mmm (No. 123)
Inequivalent atoms, fractional coordinates:
1 Ba 0.0000 0.5000 0.0000 (multiplicity 2)  2 Pt 3.20
2 Li 0.0000 0.0000 0.5000 (multiplicity 1)  8 Ba 4.24, 4 La 4.52
3 La 0.5000 0.5000 0.5000 (multiplicity 1)  2 Pt 2.79
4 Pt 0.5000 0.5000 0.0000 (multiplicity 1)  2 La 2.79

Values from the calculation:
Total magnetization, μB per atom: 0.000
ΔH_f (0 K), eV per formula unit: -1.547